# Rb2NiIO

Rb2NiIO after structural relaxation (GGA+U, the Alexandria database).

a = 6.190 Å, b = 6.190 Å, c = 4.653 Å
α = 90.00°, β = 90.00°, γ = 90.00°
Sites, in units of the cell vectors:
Rb 0.000 0.500 0.000
Rb 0.500 0.000 0.000
Ni 0.000 0.000 0.000
I 0.000 0.000 0.500
O 0.500 0.500 0.500

Output
Final energy = -2.10 eV per atom
Space-group type = No. 123